# ScHCl3 PBE optimized geometry
data_ScHCl3
_space_group_name_H-M_alt 'P m -3 m'
_space_group_IT_number 221
_space_group_name_Hall '-P 4 2 3'
_cell_length_a 4.363
_cell_length_b 4.363
_cell_length_c 4.363
_cell_angle_alpha 90.00
_cell_angle_beta 90.00
_cell_angle_gamma 90.00
loop_
_atom_site_label
_atom_site_type_symbol
_atom_site_fract_x
_atom_site_fract_y
_atom_site_fract_z
Sc1 Sc 0.000 0.000 0.000
H1 H 0.500 0.500 0.500
Cl1 Cl 0.000 0.500 0.500
# E in eV per atom: -3.481
# Excess energy over the best structure of this formula in the dataset in eV per atom: 0.746

# MnNi2Ru PBE optimized geometry
data_MnNi2Ru
_space_group_name_H-M_alt 'P 4 m m'
_space_group_IT_number 99
_cell_length_a 2.593
_cell_length_b 2.593
_cell_length_c 7.081
_cell_angle_alpha 90.00
_cell_angle_beta 90.00
_cell_angle_gamma 90.00
loop_
_space_group_symop_operation_xyz
'x,y,z'
'-y,x,z'
'-x,-y,z'
'y,-x,z'
'-x,y,z'
'y,x,z'
'x,-y,z'
'-y,-x,z'
loop_
_atom_site_label
_atom_site_type_symbol
_atom_site_fract_x
_atom_site_fract_y
_atom_site_fract_z
Mn1 Mn 0.000 0.000 0.000
Ni1 Ni 0.000 0.000 0.484
Ni2 Ni 0.500 0.500 0.243
Ru1 Ru 0.500 0.500 0.745
# E in eV per atom: -7.423
# Energy of formation in eV per atom: 0.079

# TiHgNF2 PBE optimized geometry
data_TiHgNF2
_space_group_name_H-M_alt 'P 4/m m m'
_space_group_IT_number 123
_space_group_name_Hall '-P 4 2'
_cell_length_a 4.041
_cell_length_b 4.041
_cell_length_c 4.078
_cell_angle_alpha 90.00
_cell_angle_beta 90.00
_cell_angle_gamma 90.00
loop_
_atom_site_label
_atom_site_type_symbol
_atom_site_fract_x
_atom_site_fract_y
_atom_site_fract_z
Ti1 Ti 0.000 0.000 0.000
Hg1 Hg 0.500 0.500 0.500
N1 N 0.000 0.000 0.500
F1 F 0.000 0.500 0.000
# E in eV per atom: -5.500
# Excess energy over the best structure of this formula in the dataset in eV per atom: 0.000

# BaHgRu2 PBE optimized geometry
data_BaHgRu2
_space_group_name_H-M_alt 'P 1 2/m 1'
_space_group_IT_number 10
_cell_length_a 4.320
_cell_length_b 4.861
_cell_length_c 5.351
_cell_angle_alpha 90.00
_cell_angle_beta 96.60
_cell_angle_gamma 90.00
loop_
_space_group_symop_operation_xyz
'x,y,z'
'-x,-y,-z'
'-x,y,-z'
'x,-y,z'
loop_
_atom_site_label
_atom_site_type_symbol
_atom_site_fract_x
_atom_site_fract_y
_atom_site_fract_z
Ba1 Ba 0.000 0.000 0.000
Hg1 Hg 0.500 0.000 0.500
Ru1 Ru 0.254 0.500 0.594
# E in eV per atom: -4.651
# Energy of formation in eV per atom: 0.543

# AcPrCu2S4 PBE optimized geometry
data_AcPrCu2S4
_space_group_name_H-M_alt 'I 2 2 2'
_space_group_IT_number 23
_cell_length_a 6.687
_cell_length_b 6.970
_cell_length_c 7.825
_cell_angle_alpha 90.00
_cell_angle_beta 90.00
_cell_angle_gamma 90.00
loop_
_space_group_symop_operation_xyz
'x,y,z'
'-x,-y,z'
'x,-y,-z'
'-x,y,-z'
'x+1/2,y+1/2,z+1/2'
'-x+1/2,-y+1/2,z+1/2'
'x+1/2,-y+1/2,-z+1/2'
'-x+1/2,y+1/2,-z+1/2'
loop_
_atom_site_label
_atom_site_type_symbol
_atom_site_fract_x
_atom_site_fract_y
_atom_site_fract_z
Ac1 Ac 0.000 0.000 0.000
Pr1 Pr 0.000 0.000 0.500
Cu1 Cu 0.000 0.500 0.170
S1 S 0.240 0.289 0.788
# E in eV per atom: -5.491

# Cd4AgAu7 PBE optimized geometry
data_Cd4AgAu7
_space_group_name_H-M_alt 'P -1'
_space_group_IT_number 2
_cell_length_a 5.001
_cell_length_b 5.605
_cell_length_c 9.213
_cell_angle_alpha 106.48
_cell_angle_beta 92.83
_cell_angle_gamma 96.32
loop_
_space_group_symop_operation_xyz
'x,y,z'
'-x,-y,-z'
loop_
_atom_site_label
_atom_site_type_symbol
_atom_site_fract_x
_atom_site_fract_y
_atom_site_fract_z
Cd1 Cd 0.141 0.104 0.266
Cd2 Cd 0.182 0.609 0.896
Ag1 Ag 0.500 0.000 0.500
Au1 Au 0.031 0.287 0.582
Au2 Au 0.284 0.144 0.971
Au3 Au 0.375 0.629 0.215
Au4 Au 0.500 0.500 0.500
# E in eV per atom: -2.532
# Excess energy over the best structure of this formula in the dataset in eV per atom: 0.000
# Energy of formation in eV per atom: -0.078

# IrOs2Au PBE optimized geometry
data_IrOs2Au
_space_group_name_H-M_alt 'P m m m'
_space_group_IT_number 47
_cell_length_a 2.755
_cell_length_b 3.934
_cell_length_c 5.628
_cell_angle_alpha 90.00
_cell_angle_beta 90.00
_cell_angle_gamma 90.00
loop_
_space_group_symop_operation_xyz
'x,y,z'
'-x,-y,-z'
'-x,-y,z'
'x,y,-z'
'x,-y,-z'
'-x,y,z'
'-x,y,-z'
'x,-y,z'
loop_
_atom_site_label
_atom_site_type_symbol
_atom_site_fract_x
_atom_site_fract_y
_atom_site_fract_z
Ir1 Ir 0.000 0.000 0.000
Os1 Os 0.500 0.500 0.230
Au1 Au 0.000 0.000 0.500
# E in eV per atom: -8.168
# Excess energy over the best structure of this formula in the dataset in eV per atom: 0.226
# Energy of formation in eV per atom: 0.481

# CsMgAu PBE optimized geometry
data_CsMgAu
_space_group_name_H-M_alt 'C 1 2/m 1'
_space_group_IT_number 12
_cell_length_a 23.104
_cell_length_b 5.028
_cell_length_c 9.424
_cell_angle_alpha 90.00
_cell_angle_beta 92.18
_cell_angle_gamma 90.00
loop_
_space_group_symop_operation_xyz
'x,y,z'
'-x,-y,-z'
'-x,y,-z'
'x,-y,z'
'x+1/2,y+1/2,z'
'-x+1/2,-y+1/2,-z'
'-x+1/2,y+1/2,-z'
'x+1/2,-y+1/2,z'
loop_
_atom_site_label
_atom_site_type_symbol
_atom_site_fract_x
_atom_site_fract_y
_atom_site_fract_z
Cs1 Cs 0.086 0.000 0.333
Cs2 Cs 0.115 0.500 0.866
Mg1 Mg 0.239 0.500 0.607
Mg2 Mg 0.247 0.500 0.148
Au1 Au 0.187 0.000 0.614
Au2 Au 0.208 0.000 0.118
# E in eV per atom: -2.196
# Excess energy over the best structure of this formula in the dataset in eV per atom: 0.000
# Energy of formation in eV per atom: -0.287

# MnRe2P PBE optimized geometry
data_MnRe2P
_space_group_name_H-M_alt 'R -3 m'
_space_group_IT_number 166
_space_group_name_Hall '-R 3 2"'
_cell_length_a 2.7963
_cell_length_b 2.7963
_cell_length_c 23.9572
_cell_angle_alpha 90.00
_cell_angle_beta 90.00
_cell_angle_gamma 120.00
loop_
_atom_site_label
_atom_site_type_symbol
_atom_site_fract_x
_atom_site_fract_y
_atom_site_fract_z
Mn1 Mn 0.0000 0.0000 0.0000
Re1 Re 0.0000 0.0000 0.2471
P1 P 0.0000 0.0000 0.5000
# E in eV per atom: -9.758
# Energy of formation in eV per atom: 0.111

# Ca3PtAu8 PBE optimized geometry
data_Ca3PtAu8
_space_group_name_H-M_alt 'R 3 m'
_space_group_IT_number 160
_space_group_name_Hall 'R 3 -2"'
_cell_length_a 5.5535
_cell_length_b 5.5535
_cell_length_c 28.1555
_cell_angle_alpha 90.00
_cell_angle_beta 90.00
_cell_angle_gamma 120.00
loop_
_atom_site_label
_atom_site_type_symbol
_atom_site_fract_x
_atom_site_fract_y
_atom_site_fract_z
Ca1 Ca 0.0000 0.0000 0.0000
Ca2 Ca 0.0000 0.0000 0.1319
Ca3 Ca 0.0000 0.0000 0.5263
Pt1 Pt 0.0000 0.0000 0.6416
Au1 Au 0.0000 0.0000 0.3213
Au2 Au 0.0000 0.0000 0.8211
Au3 Au 0.0000 0.5000 0.0709
Au4 Au 0.1678 0.3356 0.9049
# E in eV per atom: -3.680
# Energy of formation in eV per atom: -0.491

# Ru3Pt2 PBE optimized geometry
data_Ru3Pt2
_space_group_name_H-M_alt 'P -3 m 1'
_space_group_IT_number 164
_space_group_name_Hall '-P 3 2"'
_cell_length_a 4.2473
_cell_length_b 4.2473
_cell_length_c 5.3324
_cell_angle_alpha 90.00
_cell_angle_beta 90.00
_cell_angle_gamma 120.00
loop_
_atom_site_label
_atom_site_type_symbol
_atom_site_fract_x
_atom_site_fract_y
_atom_site_fract_z
Ru1 Ru 0.0000 0.0000 0.0000
Ru2 Ru 0.3333 0.6667 0.3883
Pt1 Pt 0.3333 0.6667 0.8669
# E in eV per atom: -7.326
# Excess energy over the best structure of this formula in the dataset in eV per atom: 0.635
# Energy of formation in eV per atom: 0.656

# Ca2MgTl6 PBE optimized geometry
data_Ca2MgTl6
_space_group_name_H-M_alt 'C m m m'
_space_group_IT_number 65
_space_group_name_Hall '-C 2 2'
_cell_length_a 8.674
_cell_length_b 16.728
_cell_length_c 3.683
_cell_angle_alpha 90.00
_cell_angle_beta 90.00
_cell_angle_gamma 90.00
loop_
_atom_site_label
_atom_site_type_symbol
_atom_site_fract_x
_atom_site_fract_y
_atom_site_fract_z
Ca1 Ca 0.000 0.190 0.000
Mg1 Mg 0.000 0.500 0.500
Tl1 Tl 0.183 0.343 0.500
Tl2 Tl 0.185 0.000 0.000
# E in eV per atom: -2.331
# Excess energy over the best structure of this formula in the dataset in eV per atom: 0.017
# Energy of formation in eV per atom: -0.131